This record from the Alexandria database describes an optimized crystal structure of Cs16Rb7Na6. The functional is PBE.

Computed properties:
Its crystal system is cubic. The space group is Fm-3m, No. 225.

abc: 16.411 16.411 16.411
angles: 60.00 60.00 60.00
Element x y z (fractional)
Cs (0.086, 0.638, 0.638)
Cs (0.122, 0.122, 0.122)
Cs (0.122, 0.122, 0.633)
Cs (0.122, 0.633, 0.122)
Cs (0.362, 0.362, 0.362)
Cs (0.362, 0.362, 0.914)
Cs (0.362, 0.914, 0.362)
Cs (0.367, 0.878, 0.878)
Cs (0.633, 0.122, 0.122)
Cs (0.638, 0.086, 0.638)
Cs (0.638, 0.638, 0.086)
Cs (0.638, 0.638, 0.638)
Cs (0.878, 0.367, 0.878)
Cs (0.878, 0.878, 0.367)
Cs (0.878, 0.878, 0.878)
Cs (0.914, 0.362, 0.362)
Rb (0.000, 0.000, 0.000)
Rb (0.000, 0.000, 0.500)
Rb (0.000, 0.500, 0.000)
Rb (0.000, 0.500, 0.500)
Rb (0.500, 0.000, 0.000)
Rb (0.500, 0.000, 0.500)
Rb (0.500, 0.500, 0.000)
Na (0.388, 0.388, 0.612)
Na (0.388, 0.612, 0.388)
Na (0.388, 0.612, 0.612)
Na (0.612, 0.388, 0.388)
Na (0.612, 0.388, 0.612)
Na (0.612, 0.612, 0.388)

---

This record from the Alexandria database describes an optimized crystal structure of LiYIr2. The functional is PBE.

Computed properties:
Its crystal system is monoclinic. The space group is C2/m, No. 12.

abc: 4.734 4.734 5.077
angles: 103.13 103.13 37.55
Element x y z (fractional)
Li (0.000, 0.000, 0.000)
Y (0.500, 0.500, 0.500)
Ir (0.257, 0.257, 0.789)
Ir (0.743, 0.743, 0.211)

---

This record from the Alexandria database describes an optimized crystal structure of KSrRu2. The functional is PBE.

Computed properties:
The value obtained for the distance to the lowest polymorph of the same formula is 306 meV/atom. Its crystal system is monoclinic. The space group is C2/m, No. 12.

abc: 5.967 5.967 7.597
angles: 121.98 121.98 39.93
Element x y z (fractional)
K (0.000, 0.000, 0.000)
Sr (0.500, 0.500, 0.500)
Ru (0.260, 0.260, 0.580)
Ru (0.740, 0.740, 0.420)

---

This record from the Alexandria database describes an optimized crystal structure of CePm3Se6. The functional is PBE.

Computed properties:
The value obtained for the distance to the lowest polymorph of the same formula is 67 meV/atom. Its crystal system is monoclinic. The space group is P2_1/c, No. 14. As for the formation energy from raw total energies: -17.942 eV/f.u.

abc: 7.013 7.752 12.889
angles: 90.00 122.52 90.00
Element x y z (fractional)
Ce (0.000, 0.000, 0.000)
Ce (0.000, 0.500, 0.500)
Pm (0.299, 0.103, 0.751)
Pm (0.299, 0.397, 0.251)
Pm (0.500, 0.000, 0.500)
Pm (0.500, 0.500, 0.000)
Pm (0.701, 0.603, 0.749)
Pm (0.701, 0.897, 0.249)
Se (0.089, 0.065, 0.251)
Se (0.089, 0.435, 0.751)
Se (0.259, 0.683, 0.087)
Se (0.259, 0.817, 0.587)
Se (0.415, 0.183, 0.086)
Se (0.415, 0.317, 0.586)
Se (0.585, 0.683, 0.414)
Se (0.585, 0.817, 0.914)
Se (0.741, 0.183, 0.413)
Se (0.741, 0.317, 0.913)
Se (0.911, 0.565, 0.249)
Se (0.911, 0.935, 0.749)

---

This record from the Alexandria database describes an optimized crystal structure of KW2. The functional is PBE.

Computed properties:
The value obtained for the distance to the lowest polymorph of the same formula is 1687 meV/atom. Its crystal system is hexagonal. The space group is P-62m, No. 189.

abc: 6.922 6.922 4.668
angles: 90.00 90.00 120.00
Element x y z (fractional)
K (0.000, 0.000, 0.000)
K (0.333, 0.667, 0.500)
K (0.667, 0.333, 0.500)
W (0.000, 0.226, 0.500)
W (0.000, 0.448, 0.000)
W (0.226, 0.000, 0.500)
W (0.448, 0.000, 0.000)
W (0.552, 0.552, 0.000)
W (0.774, 0.774, 0.500)

---

This record from the Alexandria database describes an optimized crystal structure of VSiTcRu. The functional is PBE.

Computed properties:
Its crystal system is cubic. The space group is F-43m, No. 216. As for the formation energy from raw total energies: -2.343 eV/f.u.

abc: 4.215 4.215 4.215
angles: 60.00 60.00 60.00
Element x y z (fractional)
V (0.000, 0.000, 0.000)
Si (0.500, 0.500, 0.500)
Tc (0.250, 0.250, 0.250)
Ru (0.750, 0.750, 0.750)

---

This record from the Alexandria database describes an optimized crystal structure of Pa6Ga2C. The functional is PBE.

Computed properties:
The value obtained for the distance to the lowest polymorph of the same formula is 0 meV/atom. Its crystal system is tetragonal. The space group is I4/mmm, No. 139.

abc: 6.619 6.619 6.619
angles: 123.45 123.45 84.13
Element x y z (fractional)
Pa (0.240, 0.240, 0.000)
Pa (0.270, 0.270, 0.541)
Pa (0.270, 0.730, 0.000)
Pa (0.730, 0.270, 0.000)
Pa (0.730, 0.730, 0.459)
Pa (0.760, 0.760, 0.000)
Ga (0.250, 0.750, 0.500)
Ga (0.750, 0.250, 0.500)
C (0.000, 0.000, 0.000)

---

This record from the Alexandria database describes an optimized crystal structure of ScTaPb. The functional is PBE.

Computed properties:
The value obtained for the distance to the lowest polymorph of the same formula is 45 meV/atom. Its crystal system is trigonal. The space group is P3m1, No. 156.

abc: 3.247 3.247 7.399
angles: 90.00 90.00 120.00
Element x y z (fractional)
Sc (0.000, 0.000, 0.000)
Ta (0.333, 0.667, 0.309)
Pb (0.667, 0.333, 0.644)

---

One value per record, in order, for DFT total energy: -0.88; -6.78; -4.62; -5.90; -6.32; -9.13; -8.23; -7.12 eV per atom.